# 1
A plane-wave DFT calculation with PBE was carried out for crystalline Ac3Al2Au3 at its relaxed geometry.

Unit cell a=4.6714 b=11.7368 c=15.6117 alpha=90.00 beta=90.00 gamma=90.00
With the nearest neighbours (Å) after each atom.
Space group Cmcm (No. 63)
Symmetry-distinct sites (fractional):
Ac  0.0000  0.0843  0.1067 (multiplicity 8)  7 Au 3.34-3.59, 4 Al 3.37-3.46
Ac  0.0000  0.3801  0.2500 (multiplicity 4)  5 Au 3.23-3.53, 4 Al 3.57
Al  0.0000  0.2096  0.5904 (multiplicity 8)  4 Au 2.66-2.88
Au  0.0000  0.3195  0.7500 (multiplicity 4)  2 Al 2.81
Au  0.0000  0.3783  0.0433 (multiplicity 8)  3 Al 2.66-2.88

Computed properties:
Theoretical density (g cm⁻³): 10.289
ΔE_f (meV/atom): -691
V (Å³ per cell): 855.9

---

# 2
A plane-wave DFT calculation with PBE was carried out for crystalline AcAl3Au2 at its relaxed geometry.

Unit cell a=17.2428 b=4.3822 c=10.4509 alpha=90.00 beta=104.79 gamma=90.00
With the nearest neighbours (Å) after each atom.
Space group C2/m (No. 12)
Symmetry-distinct sites (fractional):
Ac  0.0000  0.0000  0.0000 (multiplicity 2)  6 Au 3.30-3.34, 6 Al 3.44-3.69
Ac  0.1577  0.0000  0.7071 (multiplicity 4)  6 Au 3.37-3.45, 10 Al 3.38-3.77
Al  0.0000  0.5000  0.5000 (multiplicity 2)  4 Au 2.72-2.81, 4 Al 2.82
Al  0.0446  0.0000  0.3651 (multiplicity 4)  4 Au 2.73-2.85, 3 Al 2.82
Al  0.1296  0.5000  0.2021 (multiplicity 4)  4 Au 2.62-2.75, 1 Al 2.71
Al  0.1670  0.5000  0.9654 (multiplicity 4)  4 Au 2.67-2.75, 1 Al 2.71
Al  0.2099  0.0000  0.3777 (multiplicity 4)  4 Au 2.59-2.67, 1 Al 2.82
Au  0.0230  0.5000  0.7762 (multiplicity 4)  5 Al 2.70-2.81
Au  0.1494  0.5000  0.4589 (multiplicity 4)  7 Al 2.59-2.85
Au  0.1992  0.0000  0.1180 (multiplicity 4)  6 Al 2.67-2.75

Computed properties:
Theoretical density (g cm⁻³): 9.159
ΔE_f (meV/atom): -633
E above lowest polymorph (eV/f.u.): 0.00
V (Å³ per cell): 763.5

---

# 3
A plane-wave DFT calculation with PBE was carried out for crystalline Ac3Al8Au3 at its relaxed geometry.

Unit cell a=4.6271 b=10.4279 c=13.0598 alpha=90.00 beta=90.00 gamma=90.00
With the nearest neighbours (Å) after each atom.
Space group Immm (No. 71)
Symmetry-distinct sites (fractional):
Ac  0.0000  0.0000  0.0000 (multiplicity 2)  12 Al 3.33-3.50, 4 Au 3.57
Ac  0.0000  0.0000  0.3165 (multiplicity 4)  8 Al 3.31-3.35, 4 Au 3.33-3.46
Al  0.0000  0.2793  0.1243 (multiplicity 8)  3 Au 2.82-2.83, 3 Al 2.83
Al  0.0000  0.3658  0.3299 (multiplicity 8)  1 Au 2.59, 4 Al 2.80-2.83
Au  0.0000  0.2390  0.5000 (multiplicity 4)  6 Al 2.59-2.83
Au  0.0000  0.5000  0.0000 (multiplicity 2)  4 Al 2.82

Computed properties:
Theoretical density (g cm⁻³): 7.841
ΔE_f (meV/atom): -479
E above lowest polymorph (eV/f.u.): 0.07
V (Å³ per cell): 630.1

---

# 4
A plane-wave DFT calculation with PBE was carried out for crystalline Ac3Al3Au at its relaxed geometry.

Unit cell a=11.5803 b=4.8477 c=15.6307 alpha=90.00 beta=111.08 gamma=90.00
With the nearest neighbours (Å) after each atom.
Space group C2/m (No. 12)
Symmetry-distinct sites (fractional):
Ac  0.0234  0.0000  0.2688 (multiplicity 4)  6 Al 3.37-3.45, 2 Au 3.54
Ac  0.1611  0.5000  0.1194 (multiplicity 4)  7 Al 3.33-3.69, 4 Au 3.39-3.42
Ac  0.1835  0.0000  0.5781 (multiplicity 4)  7 Al 3.39-3.46
Al  0.0239  0.5000  0.4229 (multiplicity 4)  2 Al 2.66-2.70
Al  0.0958  0.0000  0.9628 (multiplicity 4)  3 Au 2.76-3.08, 1 Al 2.85
Al  0.1794  0.5000  0.7320 (multiplicity 4)  1 Al 2.70, 1 Au 2.76
Au  0.1382  0.5000  0.8952 (multiplicity 4)  4 Al 2.76-3.08

Computed properties:
Theoretical density (g cm⁻³): 7.779
ΔE_f (meV/atom): -439
V (Å³ per cell): 818.7

---

# 5
A plane-wave DFT calculation with PBE was carried out for crystalline Ac2Al3Au4 at its relaxed geometry.

Unit cell a=6.1652 b=16.4209 c=8.0036 alpha=90.00 beta=90.00 gamma=90.00
With the nearest neighbours (Å) after each atom.
Space group Cmce (No. 64)
Symmetry-distinct sites (fractional):
Ac  0.0000  0.1114  0.0911 (multiplicity 8)  8 Au 3.28-3.39, 6 Al 3.43-3.66
Al  0.0000  0.0000  0.5000 (multiplicity 4)  4 Au 2.68
Al  0.2500  0.2192  0.7500 (multiplicity 8)  5 Au 2.72-2.77
Au  0.0000  0.1907  0.4709 (multiplicity 8)  4 Al 2.75-2.77
Au  0.2500  0.0537  0.7500 (multiplicity 8)  3 Al 2.68-2.72

Computed properties:
Theoretical density (g cm⁻³): 10.844
ΔE_f (meV/atom): -634
V (Å³ per cell): 810.3

---

# 6
A plane-wave DFT calculation with PBE was carried out for crystalline AcAl3Au2 at its relaxed geometry.

Unit cell a=16.1229 b=4.3425 c=8.1863 alpha=90.00 beta=113.91 gamma=90.00
With the nearest neighbours (Å) after each atom.
Space group C2/m (No. 12)
Symmetry-distinct sites (fractional):
Ac  0.1504  0.0000  0.0791 (multiplicity 4)  7 Au 3.37-3.75, 8 Al 3.48-3.73
Al  0.0279  0.0000  0.3633 (multiplicity 4)  3 Au 2.59-2.64, 1 Al 2.73
Al  0.1139  0.5000  0.7208 (multiplicity 4)  3 Au 2.57-2.60, 1 Al 2.87
Al  0.1814  0.5000  0.4461 (multiplicity 4)  4 Au 2.61-2.74, 1 Al 2.87
Au  0.0201  0.5000  0.1860 (multiplicity 4)  4 Al 2.57-2.61, 1 Au 2.85
Au  0.1822  0.0000  0.6504 (multiplicity 4)  6 Al 2.60-2.74

Computed properties:
Theoretical density (g cm⁻³): 8.898
ΔE_f (meV/atom): -578
E above lowest polymorph (eV/f.u.): 0.33
V (Å³ per cell): 524.0

---

# 7
A plane-wave DFT calculation with PBE was carried out for crystalline AcAl2Au8 at its relaxed geometry.

Unit cell a=5.6961 b=5.6961 c=8.3226 alpha=90.00 beta=90.00 gamma=90.00
With the nearest neighbours (Å) after each atom.
Space group P4/mmm (No. 123)
Symmetry-distinct sites (fractional):
Ac  0.0000  0.0000  0.0000 (multiplicity 1)  8 Au 3.21
Al  0.0000  0.5000  0.5000 (multiplicity 2)  8 Au 2.63
Au  0.2550  0.2550  0.2969 (multiplicity 8)  2 Al 2.63, 4 Au 2.79-2.91

Computed properties:
Theoretical density (g cm⁻³): 11.418
ΔE_f (meV/atom): -243
V (Å³ per cell): 270.0

---

# 8
A plane-wave DFT calculation with PBE was carried out for crystalline Ac3Al2Au7 at its relaxed geometry.

Unit cell a=4.6694 b=4.6694 c=27.7703 alpha=90.00 beta=90.00 gamma=90.00
With the nearest neighbours (Å) after each atom.
Space group I4/mmm (No. 139)
Symmetry-distinct sites (fractional):
Ac  0.0000  0.0000  0.0000 (multiplicity 2)  12 Au 3.27-3.30
Ac  0.0000  0.0000  0.1737 (multiplicity 4)  9 Au 3.21-3.46
Al  0.0000  0.0000  0.3818 (multiplicity 4)  5 Au 2.54-2.57
Au  0.0000  0.0000  0.2893 (multiplicity 4)  1 Al 2.57
Au  0.0000  0.0000  0.5000 (multiplicity 2)  8 Au 3.27, 2 Al 3.28, 4 Ac 3.30
Au  0.0000  0.5000  0.0824 (multiplicity 8)  2 Al 2.54

Computed properties:
Theoretical density (g cm⁻³): 11.594
ΔE_f (meV/atom): -626
V (Å³ per cell): 605.5

---

# 9
A plane-wave DFT calculation with PBE was carried out for crystalline AcAl2Au3 at its relaxed geometry.

Unit cell a=10.6674 b=8.6164 c=5.6289 alpha=90.00 beta=90.00 gamma=90.00
With the nearest neighbours (Å) after each atom.
Space group Cmcm (No. 63)
Symmetry-distinct sites (fractional):
Ac  0.0000  0.1853  0.2500 (multiplicity 4)  9 Au 3.28-3.54
Al  0.2035  0.5000  0.0000 (multiplicity 8)  4 Au 2.54-2.65, 2 Al 2.81
Au  0.0000  0.4340  0.7500 (multiplicity 4)  4 Al 2.65, 2 Au 2.80
Au  0.1838  0.2018  0.7500 (multiplicity 8)  2 Al 2.54, 1 Au 2.80

Computed properties:
Theoretical density (g cm⁻³): 11.193
ΔE_f (meV/atom): -699
V (Å³ per cell): 517.4

---

# 10
A plane-wave DFT calculation with PBE was carried out for crystalline Ac2Al5Au3 at its relaxed geometry.

Unit cell a=10.9310 b=12.6499 c=6.3920 alpha=90.00 beta=90.00 gamma=90.00
With the nearest neighbours (Å) after each atom.
Space group Ibam (No. 72)
Symmetry-distinct sites (fractional):
Ac  0.2452  0.1277  0.0000 (multiplicity 8)  10 Al 3.37-3.55, 6 Au 3.42-3.59
Al  0.0000  0.0000  0.2500 (multiplicity 4)  4 Au 2.64
Al  0.0000  0.2522  0.2500 (multiplicity 8)  2 Au 2.64, 2 Al 2.73
Al  0.1356  0.3822  0.0000 (multiplicity 8)  3 Au 2.62-2.64, 2 Al 2.73
Au  0.0000  0.5000  0.2500 (multiplicity 4)  4 Al 2.64
Au  0.1252  0.1263  0.5000 (multiplicity 8)  5 Al 2.62-2.64

Computed properties:
Theoretical density (g cm⁻³): 8.866
ΔE_f (meV/atom): -674
V (Å³ per cell): 883.9